[1]
Entry from the Alexandria database: crystalline LaPb3Au3 at its relaxed geometry (GGA-PBE).

Cell lengths 7.753, 7.753, 7.753 Å; angles 90.00, 90.00, 90.00 degrees
Space group Pm-3n (No. 223)
Symmetry-distinct sites (fractional):
La: 0.000 0.000 0.000 x2
Pb: 0.000 0.250 0.500 x6
Au: 0.000 0.500 0.250 x6

Computed properties:
formation energy = 116.4 meV/atom
E = -3.581 eV/atom
size of the total moment = 0.49 μB/cell

---

[2]
Entry from the Alexandria database: crystalline Pm2PrMg2 at its relaxed geometry (GGA-PBE).

Cell lengths 6.146, 17.516, 6.123 Å; angles 90.00, 90.00, 90.00 degrees
Space group Cmcm (No. 63)
Symmetry-distinct sites (fractional):
Pm: 0.000 0.082 0.250 x4
Pm: 0.000 0.311 0.750 x4
Pr: 0.000 0.500 0.000 x4
Mg: 0.243 0.142 0.750 x8

Computed properties:
formation energy = 195.6 meV/atom
offset from the most stable computed form = 275.9 meV/atom
E = -3.298 eV/atom
size of the total moment = 0.01 μB/cell

---

[3]
Entry from the Alexandria database: crystalline CeDy2Sc3P6 at its relaxed geometry (GGA-PBE).

Cell lengths 6.758, 11.701, 6.721 Å; angles 90.00, 109.58, 90.00 degrees
Space group C2/m (No. 12)
Symmetry-distinct sites (fractional):
Ce: 0.000 0.000 0.000 x2
Dy: 0.000 0.333 0.000 x4
Sc: 0.000 0.167 0.500 x4
Sc: 0.000 0.500 0.500 x2
P: 0.245 0.000 0.735 x4
P: 0.245 0.333 0.734 x8

Computed properties:
formation energy = -1524.4 meV/atom
E = -7.074 eV/atom
size of the total moment = 0.06 μB/cell

---

[4]
Entry from the Alexandria database: crystalline Ca2CdCu4Si3 at its relaxed geometry (GGA-PBE).

Cell lengths 4.162, 4.162, 10.087 Å; angles 90.00, 90.00, 90.00 degrees
Space group P-4m2 (No. 115)
Symmetry-distinct sites (fractional):
Ca: 0.000 0.500 0.237 x2
Cd: 0.000 0.000 0.500 x1
Cu: 0.000 0.000 0.000 x1
Cu: 0.000 0.500 0.648 x2
Cu: 0.500 0.500 0.000 x1
Si: 0.000 0.500 0.878 x2
Si: 0.500 0.500 0.500 x1

Computed properties:
E = -4.033 eV/atom
size of the total moment = 0.00 μB/cell
E_form (uncorrected) = -0.28 eV/atom

---

[5]
Entry from the Alexandria database: crystalline DyEr2Fe at its relaxed geometry (GGA-PBE).

Cell lengths 3.323, 3.323, 8.918 Å; angles 90.00, 90.00, 90.00 degrees
Space group P4/mmm (No. 123)
Symmetry-distinct sites (fractional):
Dy: 0.000 0.000 0.000 x1
Er: 0.500 0.500 0.321 x2
Fe: 0.000 0.000 0.500 x1

Computed properties:
formation energy = 62.8 meV/atom
offset from the most stable computed form = 92.0 meV/atom
E = -5.485 eV/atom
size of the total moment = 0.00 μB/cell

---

[6]
Entry from the Alexandria database: crystalline FeCo4 at its relaxed geometry (GGA-PBE).

Cell lengths 3.9911, 3.9911, 12.2180 Å; angles 90.00, 90.00, 120.00 degrees
Space group R-3m (No. 166, hexagonal axes)
Symmetry-distinct sites (fractional):
Fe: 0.0000 0.0000 0.0000 x3
Co: 0.0000 0.0000 0.1949 x6
Co: 0.0000 0.0000 0.3988 x6

Computed properties:
formation energy = 37.3 meV/atom
offset from the most stable computed form = 6.0 meV/atom
E = -7.340 eV/atom
size of the total moment = 29.03 μB/cell

---

[7]
Entry from the Alexandria database: crystalline KNa2YSi6O15 at its relaxed geometry (GGA-PBE).

Cell lengths 8.663, 15.138, 10.779 Å; angles 90.00, 90.00, 90.00 degrees
Space group Imma (No. 74)
Symmetry-distinct sites (fractional):
K: 0.000 0.250 0.179 x4
Na: 0.250 0.007 0.750 x8
Y: 0.000 0.000 0.000 x4
Si: 0.000 0.150 0.717 x8
Si: 0.172 0.146 0.471 x16
O: 0.000 0.072 0.817 x8
O: 0.000 0.123 0.410 x8
O: 0.000 0.250 0.775 x4
O: 0.152 0.138 0.623 x16
O: 0.192 0.086 0.083 x16
O: 0.208 0.250 0.433 x8

Computed properties:
E = -7.459 eV/atom
size of the total moment = 0.00 μB/cell
E_form (uncorrected) = -2.77 eV/atom

---

[8]
Entry from the Alexandria database: crystalline ZrNiSCl2 at its relaxed geometry (GGA-PBE).

Cell lengths 4.427, 4.427, 4.750 Å; angles 90.00, 90.00, 90.00 degrees
Space group P4/mmm (No. 123)
Symmetry-distinct sites (fractional):
Zr: 0.000 0.000 0.000 x1
Ni: 0.500 0.500 0.500 x1
S: 0.500 0.500 0.000 x1
Cl: 0.000 0.500 0.500 x2

Computed properties:
offset from the most stable computed form = 117.4 meV/atom
E = -4.650 eV/atom
size of the total moment = 1.33 μB/cell
E_form (uncorrected) = -0.22 eV/atom